(1)
A plane-wave DFT calculation with GGA-PBE was carried out for crystalline ZrScRe2Rh at its relaxed geometry.

Unit cell a=4.5477 b=4.5477 c=4.7578 alpha=90.00 beta=90.00 gamma=90.00
With the nearest neighbours (Å) after each atom.
Positions (direct):
Zr: 0.0000 0.0000 0.0000  2 Sc 2.38
Sc: 0.0000 0.0000 0.5000  4 Re 2.27, 2 Zr 2.38
Re: 0.0000 0.5000 0.5000  2 Sc 2.27
Re: 0.5000 0.0000 0.5000  2 Sc 2.27
Rh: 0.5000 0.5000 0.0000  4 Zr 3.22, 8 Re 3.29

Results
SG: P4/mmm (123)
ΔH_f (0 K) in meV/atom: 1921
Calculated volume in Å³ per cell: 98.40

=====

(2)
A plane-wave DFT calculation with GGA-PBE was carried out for crystalline ZrScReRh at its relaxed geometry.

Unit cell a=4.6216 b=4.6216 c=4.6216 alpha=60.00 beta=60.00 gamma=60.00
With the nearest neighbours (Å) after each atom.
Positions (direct):
Zr: 0.0000 0.0000 0.0000  4 Re 2.83, 4 Rh 2.83
Sc: 0.5000 0.5000 0.5000  4 Re 2.83, 4 Rh 2.83
Re: 0.2500 0.2500 0.2500  4 Zr 2.83, 4 Sc 2.83
Rh: 0.7500 0.7500 0.7500  4 Zr 2.83, 4 Sc 2.83

Results
SG: F-43m (216)
ΔH_f (0 K) in meV/atom: -497
Calculated volume in Å³ per cell: 69.80

=====

(3)
A plane-wave DFT calculation with GGA-PBE was carried out for crystalline ReRhSe3 at its relaxed geometry.

Unit cell a=4.8491 b=4.8491 c=4.8491 alpha=90.00 beta=90.00 gamma=90.00
With the nearest neighbours (Å) after each atom.
Positions (direct):
Re: 0.0000 0.0000 0.0000  6 Se 2.42
Rh: 0.5000 0.5000 0.5000  12 Se 3.43
Se: 0.0000 0.0000 0.5000  2 Re 2.42
Se: 0.0000 0.5000 0.0000  2 Re 2.42
Se: 0.5000 0.0000 0.0000  2 Re 2.42

Results
Polymorph energy (0 for the lowest one) in meV/atom: 0.0
SG: Pm-3m (221)
Calculated volume in Å³ per cell: 114.02
ΔE_f (raw) in eV per atom: 0.9610

=====

(4)
A plane-wave DFT calculation with GGA-PBE was carried out for crystalline ReRhSe at its relaxed geometry.

Unit cell a=4.2155 b=4.2155 c=4.2155 alpha=60.00 beta=60.00 gamma=60.00
With the nearest neighbours (Å) after each atom.
Positions (direct):
Re: 0.0000 0.0000 0.0000  4 Se 2.58, 4 Rh 2.58
Rh: 0.2500 0.2500 0.2500  4 Re 2.58
Se: 0.7500 0.7500 0.7500  4 Re 2.58

Results
Polymorph energy (0 for the lowest one) in meV/atom: 118.3
SG: F-43m (216)
Calculated volume in Å³ per cell: 52.97
ΔE_f (raw) in eV per atom: 0.3253

=====

(5)
A plane-wave DFT calculation with GGA-PBE was carried out for crystalline ReRhSe4 at its relaxed geometry.

Unit cell a=5.4739 b=5.4739 c=5.4739 alpha=60.00 beta=60.00 gamma=60.00
With the nearest neighbours (Å) after each atom.
Positions (direct):
Re: 0.0000 0.0000 0.0000  12 Se 3.21, 4 Rh 3.35
Rh: 0.7500 0.7500 0.7500  12 Se 3.21, 4 Re 3.35
Se: 0.3755 0.3755 0.3755  6 Se 2.73-2.75
Se: 0.3755 0.3755 0.8735  6 Se 2.73-2.75
Se: 0.3755 0.8735 0.3755  6 Se 2.73-2.75
Se: 0.8735 0.3755 0.3755  6 Se 2.73-2.75

Results
Polymorph energy (0 for the lowest one) in meV/atom: 1778.2
SG: F-43m (216)
Calculated volume in Å³ per cell: 115.98
ΔE_f (raw) in eV per atom: 1.4997

=====

(6)
A plane-wave DFT calculation with GGA-PBE was carried out for crystalline Re3RhSe at its relaxed geometry.

Unit cell a=4.4888 b=4.4888 c=4.4888 alpha=90.00 beta=90.00 gamma=90.00
With the nearest neighbours (Å) after each atom.
Positions (direct):
Re: 0.0000 0.0000 0.5000  2 Se 2.24
Re: 0.0000 0.5000 0.0000  2 Se 2.24
Re: 0.5000 0.0000 0.0000  2 Se 2.24
Rh: 0.5000 0.5000 0.5000  12 Re 3.17
Se: 0.0000 0.0000 0.0000  6 Re 2.24

Results
Polymorph energy (0 for the lowest one) in meV/atom: 0.0
SG: Pm-3m (221)
Calculated volume in Å³ per cell: 90.45
ΔE_f (raw) in eV per atom: 1.7991

=====

(7)
A plane-wave DFT calculation with GGA-PBE was carried out for crystalline Re2RhSe5 at its relaxed geometry.

Unit cell a=5.5379 b=6.5346 c=6.6418 alpha=118.27 beta=92.91 gamma=108.79
With the nearest neighbours (Å) after each atom.
Positions (direct):
Re: 0.0000 0.0000 0.0000  5 Se 2.37-2.57
Re: 0.4204 0.7991 0.4493  5 Se 2.39-2.58
Rh: 0.9596 0.9359 0.5565  4 Se 2.43-2.51
Se: 0.0604 0.7371 0.1733  2 Re 2.43-2.57, 1 Rh 2.44
Se: 0.1263 0.6924 0.6861  2 Re 2.44-2.49, 1 Rh 2.51
Se: 0.3867 0.3740 0.2183  2 Re 2.37-2.39
Se: 0.7444 0.1566 0.8447  1 Rh 2.43, 2 Re 2.43-2.57
Se: 0.7533 0.0698 0.3247  1 Rh 2.49, 2 Re 2.55-2.58

Results
SG: P1 (1)
Calculated volume in Å³ per cell: 194.35
ΔE_f (raw) in eV per atom: 0.0694

=====

(8)
A plane-wave DFT calculation with GGA-PBE was carried out for crystalline ReRhSe at its relaxed geometry.

Unit cell a=7.4873 b=7.2323 c=2.7786 alpha=84.34 beta=73.99 gamma=21.67
With the nearest neighbours (Å) after each atom.
Positions (direct):
Re: 0.0000 0.0000 0.0000  2 Rh 2.61, 6 Re 2.78-2.82, 2 Se 2.80
Rh: 0.3450 0.3450 0.6550  2 Re 2.61, 6 Rh 2.78-2.82, 2 Se 2.84
Se: 0.6709 0.6709 0.3291  6 Se 2.78-2.82, 2 Re 2.80, 2 Rh 2.84

Results
Polymorph energy (0 for the lowest one) in meV/atom: 320.5
SG: Fmm2 (42)
Calculated volume in Å³ per cell: 47.86
ΔE_f (raw) in eV per atom: 0.5275

=====

(9)
A plane-wave DFT calculation with GGA-PBE was carried out for crystalline Re3RhSe at its relaxed geometry.

Unit cell a=4.7010 b=4.7010 c=4.7010 alpha=90.00 beta=90.00 gamma=90.00
With the nearest neighbours (Å) after each atom.
Positions (direct):
Re: 0.0000 0.0000 0.5000  2 Rh 2.35
Re: 0.0000 0.5000 0.0000  2 Rh 2.35
Re: 0.5000 0.0000 0.0000  2 Rh 2.35
Rh: 0.0000 0.0000 0.0000  6 Re 2.35
Se: 0.5000 0.5000 0.5000  12 Re 3.32

Results
Polymorph energy (0 for the lowest one) in meV/atom: 619.1
SG: Pm-3m (221)
Calculated volume in Å³ per cell: 103.89
ΔE_f (raw) in eV per atom: 2.4181

=====

(10)
A plane-wave DFT calculation with GGA-PBE was carried out for crystalline ReRhSe at its relaxed geometry.

Unit cell a=5.8826 b=5.8826 c=5.8826 alpha=151.09 beta=151.09 gamma=41.34
With the nearest neighbours (Å) after each atom.
Positions (direct):
Re: 0.0000 0.0000 0.0000  4 Se 2.63, 4 Rh 2.69, 4 Re 2.94
Rh: 0.3453 0.3453 0.0000  4 Re 2.69, 4 Rh 2.94
Se: 0.6472 0.6472 0.0000  4 Re 2.63, 4 Se 2.94

Results
Polymorph energy (0 for the lowest one) in meV/atom: 20.4
SG: I4mm (107)
Calculated volume in Å³ per cell: 47.47
ΔE_f (raw) in eV per atom: 0.2274

=====

(11)
A plane-wave DFT calculation with GGA-PBE was carried out for crystalline ReRh4Se at its relaxed geometry.

Unit cell a=5.1086 b=5.1086 c=5.1086 alpha=60.00 beta=60.00 gamma=60.00
With the nearest neighbours (Å) after each atom.
Positions (direct):
Re: 0.0000 0.0000 0.0000  12 Rh 2.99, 4 Se 3.13
Rh: 0.1238 0.6254 0.6254  6 Rh 2.55-2.56
Rh: 0.6254 0.1238 0.6254  6 Rh 2.55-2.56
Rh: 0.6254 0.6254 0.1238  6 Rh 2.55-2.56
Rh: 0.6254 0.6254 0.6254  6 Rh 2.55-2.56
Se: 0.2500 0.2500 0.2500  12 Rh 3.00, 4 Re 3.13

Results
SG: F-43m (216)
Calculated volume in Å³ per cell: 94.27
ΔE_f (raw) in eV per atom: 0.6990

=====

(12)
A plane-wave DFT calculation with GGA-PBE was carried out for crystalline Re4RhSe at its relaxed geometry.

Unit cell a=5.2025 b=5.2025 c=5.2025 alpha=60.00 beta=60.00 gamma=60.00
With the nearest neighbours (Å) after each atom.
Positions (direct):
Re: 0.1240 0.1240 0.1240  6 Re 2.58-2.62
Re: 0.1240 0.1240 0.6279  6 Re 2.58-2.62
Re: 0.1240 0.6279 0.1240  6 Re 2.58-2.62
Re: 0.6279 0.1240 0.1240  6 Re 2.58-2.62
Rh: 0.7500 0.7500 0.7500  12 Re 3.05, 4 Se 3.19
Se: 0.5000 0.5000 0.5000  12 Re 3.05, 4 Rh 3.19

Results
SG: F-43m (216)
Calculated volume in Å³ per cell: 99.57
ΔE_f (raw) in eV per atom: 0.8157

=====

(13)
A plane-wave DFT calculation with GGA-PBE was carried out for crystalline ReRhSe at its relaxed geometry.

Unit cell a=4.2044 b=4.2044 c=3.0460 alpha=90.00 beta=90.00 gamma=120.00
With the nearest neighbours (Å) after each atom.
Positions (direct):
Re: 0.0000 0.0000 0.0000  3 Se 2.43
Rh: 0.6667 0.3333 0.5000  6 Re 2.87, 6 Se 2.87, 2 Rh 3.05
Se: 0.3333 0.6667 0.0000  3 Re 2.43

Results
Polymorph energy (0 for the lowest one) in meV/atom: 153.3
SG: P-6m2 (187)
Calculated volume in Å³ per cell: 46.63
ΔE_f (raw) in eV per atom: 0.3604

=====

(14)
A plane-wave DFT calculation with GGA-PBE was carried out for crystalline ReRhSe at its relaxed geometry.

Unit cell a=2.9334 b=2.9334 c=6.2367 alpha=90.00 beta=90.00 gamma=120.00
With the nearest neighbours (Å) after each atom.
Positions (direct):
Re: 0.0000 0.0000 0.0000  3 Se 2.58, 3 Rh 2.68
Rh: 0.3333 0.6667 0.3338  3 Re 2.68, 3 Se 2.79, 6 Rh 2.93
Se: 0.6667 0.3333 0.6889  3 Re 2.58, 3 Rh 2.79

Results
Polymorph energy (0 for the lowest one) in meV/atom: 0.0
SG: P3m1 (156)
Calculated volume in Å³ per cell: 46.48
ΔE_f (raw) in eV per atom: 0.2071

=====

DOS at the Fermi energy for every record listed, in sequence, given in states/eV per cell: 7.10 3.01 5.67 4.30 7.80 7.54 5.50 1.89 7.32 3.10 7.71 4.53 4.28 3.06.